1.
Here is crystalline Ac2TaH at its relaxed geometry from Alexandria via LeMat-Bulk. Energies are from PBE.

Electronic total energy, eV per atom: -5.11
Space-group type: No. 166
Mass density, Mg/m³: 10.56
Size of the total moment, μB per formula unit: 0.53
N(E_F), states/eV/f.u.: 4.60

abc: 9.8663 9.8663 9.8663
angles: 20.18 20.18 20.18
Closest atoms and distances in Å follow each position.
Element x y z (fractional)
Ac (0.1066, 0.1066, 0.1066)  3 H 2.65
Ac (0.8934, 0.8934, 0.8934)  3 H 2.65
Ta (0.0000, 0.0000, 0.0000)  2 Ac 3.09, 6 Ta 3.46
H (0.5000, 0.5000, 0.5000)  6 Ac 2.65

2.
Here is crystalline AcTaH at its relaxed geometry from Alexandria via LeMat-Bulk. Energies are from PBE.

Electronic total energy, eV per atom: -5.91
Space-group type: No. 38
Mass density, Mg/m³: 11.51
Size of the total moment, μB per formula unit: 0.00
N(E_F), states/eV/f.u.: 2.65

abc: 11.7612 3.3546 3.3546
angles: 63.05 90.00 90.00
Closest atoms and distances in Å follow each position.
Element x y z (fractional)
Ac (0.1581, 0.0000, 0.0000)  3 H 2.67-2.72
Ac (0.8419, 0.0000, 0.0000)  3 H 2.67-2.72
Ta (0.3916, 0.6139, 0.6139)  3 H 2.21-2.41
Ta (0.6084, 0.6139, 0.6139)  3 H 2.21-2.41
H (0.0000, 0.6641, 0.6641)  6 Ac 2.67-2.72
H (0.5000, 0.9293, 0.9293)  6 Ta 2.21-2.41

Repeat the first record exactly.
Here is crystalline Ac2TaH at its relaxed geometry from Alexandria via LeMat-Bulk. Energies are from PBE.

Electronic total energy, eV per atom: -5.11
Space-group type: No. 166
Mass density, Mg/m³: 10.56
Size of the total moment, μB per formula unit: 0.53
N(E_F), states/eV/f.u.: 4.60

abc: 9.8663 9.8663 9.8663
angles: 20.18 20.18 20.18
Closest atoms and distances in Å follow each position.
Element x y z (fractional)
Ac (0.1066, 0.1066, 0.1066)  3 H 2.65
Ac (0.8934, 0.8934, 0.8934)  3 H 2.65
Ta (0.0000, 0.0000, 0.0000)  2 Ac 3.09, 6 Ta 3.46
H (0.5000, 0.5000, 0.5000)  6 Ac 2.65

Which formula does entry 2 have? AcTaH

What is the mass density in the second record? 11.51 Mg/m³

Among the records above, which one has the highest size of the total moment? Ac2TaH